5
Lattice="-2.265 2.265 5.096 2.265 -2.265 5.096 2.265 2.265 -5.096" Properties=species:S:1:pos:R:3 comment="Fe2PbBr2 | Alexandria | PBEsol | relaxed" volume_a3_per_fu=105 magnetic_moment_mub_per_atom=1.195 total_energy_ev_per_atom=-4.757 pbc="T T T"
Fe 0.000 0.000 1.104
Fe 0.000 0.000 9.087
Pb 0.000 0.000 5.096
Br 2.265 0.000 2.548
Br 0.000 2.265 2.548